Here is an optimized crystal structure of CoSbIN2 from Alexandria via LeMat-Bulk. Energies are from PBE.

- Uncorrected formation energy: 1.5126 eV per atom
- Theoretical density: 4947 kg/m³
- Electronic total energy: -4.3732 eV per atom

```
CoSbIN2
1.0
3.971 0.000 0.000
0.000 3.971 0.000
0.000 0.000 7.142
N Co Sb I
2 1 1 1
Cartesian
1.986 0.000 0.000
0.000 1.986 0.000
1.986 1.986 3.571
0.000 0.000 0.000
0.000 0.000 3.571
```